1.
MnSe2Cl | GGA-PBE | optimized geometry

Computed properties:
relative energy among the computed polymorphs	0.513	eV per formula unit
energy	-4.83	eV per atom
formation energy (no corrections)	-0.34	eV per atom
symmetry	Imm2 (44)

Cell lengths 7.3006, 7.3006, 7.3006 Å; angles 152.56, 141.60, 47.84 degrees
Each line ends with the local moment (μB).
Positions (direct):
Cl 0.3967 0.3967 0.0000  0.06
Mn 0.2713 0.7713 0.5000  4.01
Se 0.1306 0.1306 0.0000  -0.07
Se 0.7014 0.2014 0.5000  0.00



2.
Hf5Ge5Ru | GGA-PBE | optimized geometry

Computed properties:
DFT formation energy	-186	meV/atom
energy	-7.65	eV per atom
symmetry	C2/m (12)

Cell lengths 5.3543, 6.0858, 8.1912 Å; angles 110.81, 90.00, 116.10 degrees
Positions (direct):
Hf 0.6711 0.3421 0.3464
Hf 0.6542 0.3085 0.8091
Hf 0.0000 0.0000 0.5000
Hf 0.3458 0.6915 0.1909
Hf 0.3289 0.6579 0.6536
Ge 0.8303 0.6607 0.1502
Ge 0.8447 0.6894 0.6823
Ge 0.5000 0.0000 0.0000
Ge 0.1553 0.3106 0.3177
Ge 0.1697 0.3393 0.8498
Ru 0.0000 0.0000 0.0000



3.
Cr2SnH | GGA-PBE | optimized geometry

Computed properties:
relative energy among the computed polymorphs	1.524	eV per formula unit
energy	-5.88	eV per atom
symmetry	Fm-3m (225)

Cell lengths 4.4646, 4.4646, 4.4646 Å; angles 60.00, 60.00, 60.00 degrees
Each line ends with the local moment (μB).
Positions (direct):
Cr 0.2500 0.2500 0.2500  3.39
Cr 0.7500 0.7500 0.7500  3.39
Sn 0.5000 0.5000 0.5000  -0.26
H 0.0000 0.0000 0.0000  -0.09



4.
BiSeIO2 | GGA-PBE | optimized geometry

Computed properties:
relative energy among the computed polymorphs	2.044	eV per formula unit
energy	-3.45	eV per atom
formation energy (no corrections)	0.32	eV per atom
symmetry	P4/mmm (123)

Cell lengths 4.2398, 4.2398, 5.8073 Å; angles 90.00, 90.00, 90.00 degrees
Each line ends with the local moment (μB).
Positions (direct):
I 0.0000 0.0000 0.5000  0.00
O 0.0000 0.5000 0.0000  0.01
O 0.5000 0.0000 0.0000  0.01
Bi 0.5000 0.5000 0.5000  0.10
Se 0.0000 0.0000 0.0000  0.01



Table of D(E_F) (states/eV per cell), in record order: 1.59, 6.42, 0.68, 2.84